Below is an optimized crystal structure of ZnReTc, with properties calculated at the GGA-PBEsol level.

* ΔE to the lowest computed polymorph: 606 meV/atom
* energy of formation from the pure elements: 0.6354 eV/atom
* symmetry: F-43m

CIF file:
```
data_ZnReTc
_cell_length_a 4.120
_cell_length_b 4.120
_cell_length_c 4.120
_cell_angle_alpha 60.00
_cell_angle_beta 60.00
_cell_angle_gamma 60.00
_space_group_name_H-M_alt 'P 1'
_space_group_IT_number 1
loop_
_space_group_symop_operation_xyz
'x,y,z'
loop_
_atom_site_label
_atom_site_fract_x
_atom_site_fract_y
_atom_site_fract_z
_atom_site_occupancy
Re1 0.500 0.500 0.500 1
Tc1 0.250 0.250 0.250 1
Zn1 0.000 0.000 0.000 1
```